# 1
Density functional theory data (GGA-PBE) for an optimized crystal structure of InBMo3.

a b c (Å): 4.270 4.270 4.270
angles (deg): 90.00 90.00 90.00
Space group Pm-3m (No. 221)
Asymmetric unit:
In 0.000 0.000 0.000 [1 per cell]
B 0.500 0.500 0.500 [1 per cell]
Mo 0.000 0.500 0.500 [3 per cell]

Summary:
As for the energy: -40.8 eV/cell. Its formation enthalpy at 0 K is 231 meV per atom. The total magnetization is 0.00 μB per cell.



# 2
Density functional theory data (GGA-PBE) for an optimized crystal structure of Ta4InTe.

a b c (Å): 7.938 7.938 7.938
angles (deg): 90.00 90.00 90.00
Space group F-43m (No. 216)
Asymmetric unit:
Ta 0.123 0.123 0.377 [16 per cell]
In 0.250 0.250 0.750 [4 per cell]
Te 0.000 0.000 0.000 [4 per cell]

Summary:
As for the energy: -202.2 eV/cell. The total magnetization is 0.00 μB per cell. For the uncorrected formation energy, the calculation gives 0.457 eV/atom.



# 3
Density functional theory data (GGA-PBE) for an optimized crystal structure of Pm8Pr3Tm2.

a b c (Å): 20.373 7.778 5.809
angles (deg): 90.00 90.06 90.00
Space group C2/m (No. 12)
Asymmetric unit:
Pm 0.109 0.208 0.000 [8 per cell]
Pm 0.136 0.500 0.499 [4 per cell]
Pm 0.175 0.000 0.502 [4 per cell]
Pr 0.000 0.210 0.500 [4 per cell]
Pr 0.000 0.500 0.000 [2 per cell]
Tm 0.241 0.500 0.998 [4 per cell]

Summary:
As for the energy: -116.9 eV/cell. Its formation enthalpy at 0 K is 220 meV per atom. The total magnetization is 0.00 μB per cell.



# 4
Density functional theory data (GGA-PBE) for an optimized crystal structure of In2H2Ru.

a b c (Å): 3.132 3.132 13.352
angles (deg): 90.00 90.00 90.00
Space group I4/mmm (No. 139)
Asymmetric unit:
In 0.000 0.000 0.130 [4 per cell]
H 0.000 0.500 0.250 [4 per cell]
Ru 0.000 0.000 0.500 [2 per cell]

Summary:
As for the energy: -38.9 eV/cell. The total magnetization is 0.00 μB per cell.



# 5
Density functional theory data (GGA-PBE) for an optimized crystal structure of HfSb2IF.

a b c (Å): 4.668 4.668 5.596
angles (deg): 90.00 90.00 90.00
Space group P4/mmm (No. 123)
Asymmetric unit:
Hf 0.000 0.000 0.000 [1 per cell]
Sb 0.000 0.500 0.500 [2 per cell]
I 0.500 0.500 0.000 [1 per cell]
F 0.500 0.500 0.500 [1 per cell]

Summary:
As for the energy: -21.7 eV/cell. The total magnetization is 0.00 μB per cell. For the uncorrected formation energy, the calculation gives -0.009 eV/atom.



# 6
Density functional theory data (GGA-PBE) for an optimized crystal structure of MgGaF.

a b c (Å): 3.211 3.261 10.540
angles (deg): 81.30 81.37 60.86
Space group P-1 (No. 2)
Asymmetric unit:
Mg 0.099 0.099 0.201 [2 per cell]
Ga 0.364 0.359 0.411 [2 per cell]
F 0.206 0.208 0.885 [2 per cell]

Summary:
As for the energy: -23.0 eV/cell. The total magnetization is 0.00 μB per cell. For the uncorrected formation energy, the calculation gives -1.668 eV/atom.



# 7
Density functional theory data (GGA-PBE) for an optimized crystal structure of AlCuNi.

a b c (Å): 2.676 9.179 6.583
angles (deg): 90.00 90.00 90.00
Space group Pmmn (No. 59, origin choice 2)
Asymmetric unit:
Al 0.250 0.100 0.138 [4 per cell]
Cu 0.250 0.122 0.761 [4 per cell]
Ni 0.250 0.616 0.559 [4 per cell]

Summary:
As for the energy: -54.1 eV/cell. Its formation enthalpy at 0 K is 29 meV per atom. The total magnetization is 0.28 μB per cell.



# 8
Density functional theory data (GGA-PBE) for an optimized crystal structure of Cs2KGe2Cl7.

a b c (Å): 7.649 7.621 14.297
angles (deg): 90.00 104.06 90.00
Space group C2/m (No. 12)
Asymmetric unit:
Cs 0.183 0.000 0.362 [4 per cell]
K 0.000 0.000 0.000 [2 per cell]
Ge 0.113 0.500 0.192 [4 per cell]
Cl 0.000 0.500 0.000 [2 per cell]
Cl 0.173 0.232 0.817 [8 per cell]
Cl 0.202 0.500 0.385 [4 per cell]

Summary:
As for the energy: -84.0 eV/cell. The total magnetization is 0.00 μB per cell. For the uncorrected formation energy, the calculation gives -1.419 eV/atom.



# 9
Density functional theory data (GGA-PBE) for an optimized crystal structure of LiEuYPb.

a b c (Å): 7.685 7.685 7.685
angles (deg): 90.00 90.00 90.00
Space group F-43m (No. 216)
Asymmetric unit:
Li 0.000 0.000 0.000 [4 per cell]
Eu 0.250 0.250 0.250 [4 per cell]
Y 0.250 0.250 0.750 [4 per cell]
Pb 0.000 0.000 0.500 [4 per cell]

Summary:
As for the energy: -94.5 eV/cell. Its formation enthalpy at 0 K is -315 meV per atom. The total magnetization is 30.01 μB per cell.



# 10
Density functional theory data (GGA-PBE) for an optimized crystal structure of LiLaHoPb.

a b c (Å): 7.678 7.678 7.678
angles (deg): 90.00 90.00 90.00
Space group F-43m (No. 216)
Asymmetric unit:
Li 0.000 0.000 0.000 [4 per cell]
La 0.250 0.250 0.750 [4 per cell]
Ho 0.250 0.250 0.250 [4 per cell]
Pb 0.000 0.000 0.500 [4 per cell]

Summary:
As for the energy: -65.2 eV/cell. Its formation enthalpy at 0 K is -294 meV per atom. The total magnetization is 0.05 μB per cell.



# 11
Density functional theory data (GGA-PBE) for an optimized crystal structure of Ce2Mg2Si4Ni.

a b c (Å): 6.262 6.262 8.535
angles (deg): 90.00 90.00 90.00
Space group I4/mmm (No. 139)
Asymmetric unit:
Ce 0.000 0.500 0.250 [4 per cell]
Mg 0.000 0.000 0.208 [4 per cell]
Si 0.238 0.238 0.000 [8 per cell]
Ni 0.000 0.000 0.500 [2 per cell]

Summary:
As for the energy: -92.4 eV/cell. The total magnetization is 1.76 μB per cell. For the uncorrected formation energy, the calculation gives -0.409 eV/atom.



# 12
Density functional theory data (GGA-PBE) for an optimized crystal structure of ZrW3Cl.

a b c (Å): 4.926 4.926 4.926
angles (deg): 90.00 90.00 90.00
Space group Pm-3m (No. 221)
Asymmetric unit:
Zr 0.000 0.000 0.000 [1 per cell]
W 0.000 0.000 0.500 [3 per cell]
Cl 0.500 0.500 0.500 [1 per cell]

Summary:
As for the energy: -34.8 eV/cell. The total magnetization is 0.00 μB per cell. For the uncorrected formation energy, the calculation gives 2.890 eV/atom.



# 13
Density functional theory data (GGA-PBE) for an optimized crystal structure of Dy5Te5Ru.

a b c (Å): 13.752 6.121 8.565
angles (deg): 90.00 109.05 90.00
Space group C2/m (No. 12)
Asymmetric unit:
Dy 0.000 0.000 0.000 [2 per cell]
Dy 0.147 0.500 0.851 [4 per cell]
Dy 0.148 0.500 0.305 [4 per cell]
Te 0.000 0.500 0.500 [2 per cell]
Te 0.166 0.000 0.824 [4 per cell]
Te 0.181 0.000 0.333 [4 per cell]
Ru 0.000 0.500 0.000 [2 per cell]

Summary:
As for the energy: -120.8 eV/cell. The total magnetization is 0.00 μB per cell. For the uncorrected formation energy, the calculation gives -1.129 eV/atom.



# 14
Density functional theory data (GGA-PBE) for an optimized crystal structure of AcPr2TiN4.

a b c (Å): 3.586 12.402 12.462
angles (deg): 90.00 90.00 90.00
Space group Cmcm (No. 63)
Asymmetric unit:
Ac 0.000 0.097 0.250 [4 per cell]
Pr 0.000 0.369 0.040 [8 per cell]
Ti 0.000 0.171 0.750 [4 per cell]
N 0.000 0.000 0.000 [4 per cell]
N 0.000 0.267 0.632 [8 per cell]
N 0.000 0.415 0.250 [4 per cell]

Summary:
As for the energy: -259.9 eV/cell. The total magnetization is 0.00 μB per cell. For the uncorrected formation energy, the calculation gives -1.263 eV/atom.



# 15
Density functional theory data (GGA-PBE) for an optimized crystal structure of TiCuRh3.

a b c (Å): 4.430 4.430 4.430
angles (deg): 90.00 90.00 90.00
Space group Pm-3m (No. 221)
Asymmetric unit:
Ti 0.000 0.000 0.000 [1 per cell]
Cu 0.500 0.500 0.500 [1 per cell]
Rh 0.000 0.500 0.500 [3 per cell]

Summary:
As for the energy: -30.0 eV/cell. Its formation enthalpy at 0 K is 817 meV per atom. The total magnetization is 0.01 μB per cell.



# 16
Density functional theory data (GGA-PBE) for an optimized crystal structure of CaLu2In.

a b c (Å): 3.570 3.570 9.483
angles (deg): 90.00 90.00 90.00
Space group P4/mmm (No. 123)
Asymmetric unit:
Ca 0.000 0.000 0.000 [1 per cell]
Lu 0.500 0.500 0.292 [2 per cell]
In 0.000 0.000 0.500 [1 per cell]

Summary:
As for the energy: -14.3 eV/cell. Its formation enthalpy at 0 K is -135 meV per atom. The total magnetization is 0.00 μB per cell.



# 17
Density functional theory data (GGA-PBE) for an optimized crystal structure of SmErCuTc.

a b c (Å): 6.926 6.926 6.926
angles (deg): 90.00 90.00 90.00
Space group F-43m (No. 216)
Asymmetric unit:
Sm 0.000 0.000 0.000 [4 per cell]
Er 0.000 0.000 0.500 [4 per cell]
Cu 0.250 0.250 0.750 [4 per cell]
Tc 0.250 0.250 0.250 [4 per cell]

Summary:
As for the energy: -95.9 eV/cell. Its formation enthalpy at 0 K is -57 meV per atom. The total magnetization is 0.00 μB per cell.



# 18
Density functional theory data (GGA-PBE) for an optimized crystal structure of Tb2NdHoEr6.

a b c (Å): 9.010 14.966 9.504
angles (deg): 90.00 97.40 90.00
Space group C2/c (No. 15)
Asymmetric unit:
Tb 0.250 0.053 0.046 [8 per cell]
Nd 0.000 0.024 0.750 [4 per cell]
Ho 0.000 0.409 0.250 [4 per cell]
Er 0.064 0.189 0.442 [8 per cell]
Er 0.100 0.392 0.618 [8 per cell]
Er 0.206 0.226 0.817 [8 per cell]

Summary:
As for the energy: -179.1 eV/cell. Its formation enthalpy at 0 K is 121 meV per atom. The total magnetization is 0.00 μB per cell.



# 19
Density functional theory data (GGA-PBE) for an optimized crystal structure of Pm4Sn3Pt.

a b c (Å): 4.407 4.451 11.540
angles (deg): 90.00 90.00 90.00
Space group Pmm2 (No. 25)
Asymmetric unit:
Pm 0.000 0.000 0.000 [1 per cell]
Pm 0.000 0.500 0.258 [1 per cell]
Pm 0.500 0.000 0.469 [1 per cell]
Pm 0.500 0.500 0.765 [1 per cell]
Sn 0.000 0.000 0.716 [1 per cell]
Sn 0.000 0.500 0.538 [1 per cell]
Sn 0.500 0.500 0.043 [1 per cell]
Pt 0.500 0.000 0.211 [1 per cell]

Summary:
As for the energy: -43.7 eV/cell. Its formation enthalpy at 0 K is -834 meV per atom. The total magnetization is 0.00 μB per cell.



# 20
Density functional theory data (GGA-PBE) for an optimized crystal structure of AcP2OsRu.

a b c (Å): 4.082 4.082 11.383
angles (deg): 90.00 90.00 90.00
Space group I-4m2 (No. 119)
Asymmetric unit:
Ac 0.000 0.000 0.000 [2 per cell]
P 0.000 0.000 0.352 [4 per cell]
Os 0.000 0.500 0.250 [2 per cell]
Ru 0.000 0.500 0.750 [2 per cell]

Summary:
As for the energy: -79.6 eV/cell. Its formation enthalpy at 0 K is -876 meV per atom. The total magnetization is 0.00 μB per cell.



# 21
Density functional theory data (GGA-PBE) for an optimized crystal structure of SrY2P.

a b c (Å): 7.639 7.639 7.639
angles (deg): 90.00 90.00 90.00
Space group F-43m (No. 216)
Asymmetric unit:
Sr 0.000 0.000 0.000 [4 per cell]
Y 0.000 0.000 0.500 [4 per cell]
Y 0.250 0.250 0.250 [4 per cell]
P 0.250 0.250 0.750 [4 per cell]

Summary:
As for the energy: -77.7 eV/cell. Its formation enthalpy at 0 K is 146 meV per atom. The total magnetization is 0.71 μB per cell.



# 22
Density functional theory data (GGA-PBE) for an optimized crystal structure of Dy13Zn2.

a b c (Å): 6.601 8.524 8.959
angles (deg): 116.68 90.13 99.98
Space group P-1 (No. 2)
Asymmetric unit:
Dy 0.000 0.000 0.000 [1 per cell]
Dy 0.027 0.501 0.701 [2 per cell]
Dy 0.228 0.980 0.573 [2 per cell]
Dy 0.255 0.791 0.154 [2 per cell]
Dy 0.277 0.349 0.957 [2 per cell]
Dy 0.454 0.826 0.815 [2 per cell]
Dy 0.486 0.613 0.381 [2 per cell]
Zn 0.156 0.223 0.361 [2 per cell]

Summary:
As for the energy: -62.4 eV/cell. Its formation enthalpy at 0 K is -4 meV per atom. The total magnetization is 0.00 μB per cell.



# 23
Density functional theory data (GGA-PBE) for an optimized crystal structure of Na2CuTcOs.

a b c (Å): 4.563 4.563 4.808
angles (deg): 90.00 90.00 90.00
Space group P4/mmm (No. 123)
Asymmetric unit:
Na 0.000 0.500 0.000 [2 per cell]
Cu 0.000 0.000 0.000 [1 per cell]
Tc 0.500 0.500 0.500 [1 per cell]
Os 0.000 0.000 0.500 [1 per cell]

Summary:
As for the energy: -19.9 eV/cell. Its formation enthalpy at 0 K is 1690 meV per atom. The total magnetization is 3.65 μB per cell.



# 24
Density functional theory data (GGA-PBE) for an optimized crystal structure of Be2MoPb.

a b c (Å): 2.914 3.712 5.848
angles (deg): 90.00 90.05 90.00
Space group Pm (No. 6)
Asymmetric unit:
Be 0.000 0.000 0.000 [1 per cell]
Be 0.005 0.500 0.191 [1 per cell]
Mo 0.504 0.000 0.336 [1 per cell]
Pb 0.005 0.500 0.669 [1 per cell]

Summary:
As for the energy: -20.0 eV/cell. Its formation enthalpy at 0 K is 498 meV per atom. The total magnetization is 0.00 μB per cell.



# 25
Density functional theory data (GGA-PBE) for an optimized crystal structure of ZnNi2C.

a b c (Å): 6.098 6.098 4.777
angles (deg): 90.00 90.00 90.00
Space group I-42d (No. 122)
Asymmetric unit:
Zn 0.000 0.000 0.000 [4 per cell]
Ni 0.142 0.250 0.625 [8 per cell]
C 0.000 0.000 0.500 [4 per cell]

Summary:
As for the energy: -83.4 eV/cell. Its formation enthalpy at 0 K is 300 meV per atom. The total magnetization is 0.00 μB per cell.